8
Lattice="3.6802 -6.3721 0.0000 3.6802 6.3721 0.0000 -2.3118 0.0000 7.0196" Properties=species:S:1:pos:R:3 comment="GGA-PBE GdBr3, optimized geometry" spacegroup="C2/m, No. 12" energy_ev_per_atom=-6.6634 pbc="T T T"
Gd 3.6802 4.2514 0.0000
Gd 3.6802 -4.2514 0.0000
Br 0.0220 2.3339 5.4007
Br 0.9687 0.0000 1.6338
Br 0.0220 -2.3339 5.4007
Br 5.0266 2.3339 1.6189
Br 4.0799 0.0000 5.3859
Br 5.0266 -2.3339 1.6189